5
Lattice="-3.595 -1.207 0.446 1.280 -3.214 1.616 -0.136 1.681 3.452" Properties=species:S:1:pos:R:3 comment="NiRhO2F | the Alexandria database | PBE+U | relaxed" dos_at_fermi_per_ev_atom=0.956 total_energy_ev_per_atom=-4.54 total_magnetization_mub_per_fu=5.02 spacegroup=P4/mmm pbc="T T T"
Ni 0.000 0.000 0.000
Rh -1.226 -1.370 2.757
O 0.640 -1.607 0.808
O -1.798 -0.604 0.223
F -0.068 0.841 1.726